Entry 1:
Entry from Alexandria: a geometry-optimized Ge2P4S structure (PBE).

Geometry as POSCAR:
```
Ge2P4S
1.0
-2.346 0.261 -3.768
1.962 -3.706 -1.478
-5.585 -5.802 0.451
S P Ge
1 4 2
Direct
0.000 0.000 0.000
0.500 0.000 0.000
0.000 0.500 0.000
0.249 0.249 0.503
0.751 0.751 0.497
0.402 0.402 0.197
0.598 0.598 0.803
```

Summary:
total magnetization = 0.0 μB/cell
crystal system = tetragonal
energy relative to the elements, uncorrected = 56.11 kJ per mole of atoms
symmetry = No. 139



Entry 2:
Entry from Alexandria: a geometry-optimized GeP2S4 structure (PBE).

Geometry as POSCAR:
```
GeP2S4
1.0
6.248 0.000 0.000
0.000 6.248 0.000
-3.124 -3.124 3.938
S P Ge
4 2 1
Direct
0.574 0.574 0.699
0.875 0.426 0.301
0.426 0.875 0.301
0.125 0.125 0.699
0.750 0.250 0.500
0.250 0.750 0.500
0.500 0.500 0.000
```

Summary:
total magnetization = 0.0 μB/cell
crystal system = tetragonal
energy relative to the elements, uncorrected = 17.40 kJ per mole of atoms
symmetry = No. 121



Entry 3:
Entry from Alexandria: a geometry-optimized Ge2PS structure (PBE).

Geometry as POSCAR:
```
Ge2PS
1.0
-2.841 5.708 -1.158
-4.198 -1.114 4.809
-0.946 4.120 4.494
Ge S P
4 2 2
Direct
0.614 0.125 0.250
0.875 0.864 0.750
0.136 0.625 0.250
0.375 0.386 0.750
0.000 0.000 0.000
0.750 0.250 0.500
0.250 0.750 0.500
0.500 0.500 0.000
```

Summary:
excess energy over the best structure of this formula in the dataset = 4.19 kcal/mol of atoms
total magnetization = 0.0 μB/cell
crystal system = tetragonal
energy relative to the elements, uncorrected = 15.13 kJ per mole of atoms
symmetry = No. 122



Entry 4:
Entry from Alexandria: a geometry-optimized GeSbP2S structure (PBE).

Geometry as POSCAR:
```
GeSbP2S
1.0
4.741 0.000 0.000
0.000 4.741 0.000
0.000 0.000 4.655
P Ge Sb S
2 1 1 1
Direct
0.500 0.000 0.000
0.000 0.500 0.000
0.000 0.000 0.000
0.500 0.500 0.500
0.000 0.000 0.500
```

Summary:
excess energy over the best structure of this formula in the dataset = 0.00 kcal/mol of atoms
total magnetization = 0.0 μB/cell
crystal system = tetragonal
energy relative to the elements, uncorrected = 65.43 kJ per mole of atoms
symmetry = No. 123



Entry 5:
Entry from Alexandria: a geometry-optimized Ge2SbPS structure (PBE).

Geometry as POSCAR:
```
Ge2SbPS
1.0
4.964 0.000 0.000
0.000 4.405 0.000
0.000 0.000 4.964
Sb Ge S P
1 2 1 1
Direct
0.500 0.500 0.500
0.500 0.000 0.000
0.000 0.000 0.500
0.000 0.500 0.000
0.000 0.000 0.000
```

Summary:
total magnetization = 0.0 μB/cell
crystal system = tetragonal
energy relative to the elements, uncorrected = 43.65 kJ per mole of atoms
symmetry = No. 123



Entry 6:
Entry from Alexandria: a geometry-optimized GeSbPS2 structure (PBE).

Geometry as POSCAR:
```
GeSbPS2
1.0
4.703 0.000 0.000
0.000 4.703 0.000
0.000 0.000 4.745
Sb Ge P S
1 1 1 2
Direct
0.500 0.500 0.500
0.000 0.000 0.000
0.000 0.000 0.500
0.500 0.000 0.000
0.000 0.500 0.000
```

Summary:
excess energy over the best structure of this formula in the dataset = 0.00 kcal/mol of atoms
total magnetization = 0.0 μB/cell
crystal system = tetragonal
energy relative to the elements, uncorrected = 47.28 kJ per mole of atoms
symmetry = No. 123